Arrangement w

Ta3Mo | PBE | optimized geometry

a b c (Å): 3.267 4.614 9.304
angles (deg): 90.00 90.00 90.00
Space group Pmma (No. 51)
Symmetry-distinct sites (fractional):
Ta (0.250, 0.000, 0.123) x2
Ta (0.250, 0.000, 0.626) x2
Ta (0.250, 0.500, 0.868) x2
Mo (0.250, 0.500, 0.382) x2

Summary:
As for the calculated density: 15.125 g/cm³. The value obtained for the volume is 140 Å³/cell.



Arrangement x

Ta3Mo | PBE | optimized geometry

a b c (Å): 3.262 3.262 13.174
angles (deg): 90.00 90.00 90.00
Space group P4/nmm (No. 129, origin choice 2)
Symmetry-distinct sites (fractional):
Ta (0.250, 0.250, 0.063) x2
Ta (0.250, 0.250, 0.567) x2
Ta (0.250, 0.250, 0.806) x2
Mo (0.250, 0.250, 0.314) x2

Summary:
As for the calculated density: 15.131 g/cm³. The value obtained for the volume is 140 Å³/cell.



Arrangement y

Ta3Mo | PBE | optimized geometry

a b c (Å): 5.521 9.382 5.521
angles (deg): 90.00 90.00 90.00
Space group Pnma (No. 62)
Symmetry-distinct sites (fractional):
Ta (0.001, 0.250, 0.001) x4
Ta (0.236, 0.000, 0.329) x8
Mo (0.001, 0.250, 0.501) x4

Summary:
As for the calculated density: 14.836 g/cm³. The value obtained for the volume is 286 Å³/cell.



The most stable arrangement is arrangement x, and the next structure is 38 meV per atom less stable.



Arrangement w

TaMo8 | PBE | optimized geometry

a b c (Å): 7.943 7.943 4.692
angles (deg): 90.00 90.00 90.00
Space group I4/mmm (No. 139)
Symmetry-distinct sites (fractional):
Ta (0.000, 0.000, 0.000) x2
Mo (0.000, 0.338, 0.000) x8
Mo (0.168, 0.168, 0.500) x8

Summary:
As for the calculated density: 10.642 g/cm³. The value obtained for the volume is 296 Å³/cell.



Arrangement x

TaMo8 | PBE | optimized geometry

a b c (Å): 9.544 9.544 3.174
angles (deg): 90.00 90.00 90.00
Space group I4/mmm (No. 139)
Symmetry-distinct sites (fractional):
Ta (0.000, 0.000, 0.000) x2
Mo (0.000, 0.334, 0.000) x8
Mo (0.169, 0.169, 0.500) x8

Summary:
As for the calculated density: 10.897 g/cm³. The value obtained for the volume is 289 Å³/cell.



The most stable arrangement is arrangement x, and the next structure is 330 meV per atom less stable.



Arrangement w

Ta2TcMo | PBE | optimized geometry

a b c (Å): 6.416 6.416 6.416
angles (deg): 90.00 90.00 90.00
Space group Fm-3m (No. 225)
Symmetry-distinct sites (fractional):
Ta (0.250, 0.250, 0.250) x8
Tc (0.000, 0.000, 0.000) x4
Mo (0.000, 0.000, 0.500) x4

Summary:
As for the calculated density: 13.976 g/cm³. The value obtained for the volume is 264 Å³/cell.



Arrangement x

Ta2TcMo | PBE | optimized geometry

a b c (Å): 7.175 7.175 5.551
angles (deg): 90.00 90.00 90.00
Space group I-42d (No. 122)
Symmetry-distinct sites (fractional):
Ta (0.240, 0.250, 0.125) x8
Tc (0.000, 0.000, 0.000) x4
Mo (0.000, 0.000, 0.500) x4

Summary:
As for the calculated density: 12.921 g/cm³. The value obtained for the volume is 286 Å³/cell.



The most stable arrangement is arrangement w, and the next structure is 943 meV per atom less stable.



Arrangement w

TaTiTcMo | PBE | optimized geometry

a b c (Å): 6.348 6.348 6.348
angles (deg): 90.00 90.00 90.00
Space group F-43m (No. 216)
Symmetry-distinct sites (fractional):
Ta (0.000, 0.000, 0.000) x4
Ti (0.000, 0.000, 0.500) x4
Tc (0.250, 0.250, 0.250) x4
Mo (0.250, 0.250, 0.750) x4

Summary:
As for the calculated density: 10.978 g/cm³. The value obtained for the volume is 256 Å³/cell.



Arrangement x

TaTiTcMo | PBE | optimized geometry

a b c (Å): 2.952 3.027 7.748
angles (deg): 90.00 90.00 90.00
Space group Pmm2 (No. 25)
Symmetry-distinct sites (fractional):
Ta (0.000, 0.000, 0.000) x1
Ti (0.000, 0.000, 0.578) x1
Tc (0.500, 0.500, 0.780) x1
Mo (0.000, 0.500, 0.294) x1

Summary:
As for the calculated density: 10.141 g/cm³. The value obtained for the volume is 69 Å³/cell.



The most stable arrangement is arrangement w, and the next structure is 651 meV per atom less stable.



Arrangement w

TaTcMoW | PBE | optimized geometry

a b c (Å): 3.180 3.180 6.378
angles (deg): 90.00 90.00 90.00
Space group P4mm (No. 99)
Symmetry-distinct sites (fractional):
Ta (0.000, 0.000, 0.000) x1
Tc (0.500, 0.500, 0.251) x1
Mo (0.500, 0.500, 0.742) x1
W (0.000, 0.000, 0.500) x1

Summary:
As for the calculated density: 14.386 g/cm³. The value obtained for the volume is 64 Å³/cell.



Arrangement x

TaTcMoW | PBE | optimized geometry

a b c (Å): 6.356 6.356 6.356
angles (deg): 90.00 90.00 90.00
Space group F-43m (No. 216)
Symmetry-distinct sites (fractional):
Ta (0.000, 0.000, 0.000) x4
Tc (0.250, 0.250, 0.250) x4
Mo (0.250, 0.250, 0.750) x4
W (0.000, 0.000, 0.500) x4

Summary:
As for the calculated density: 14.450 g/cm³. The value obtained for the volume is 257 Å³/cell.



The most stable arrangement is arrangement x, and the next structure is 8 meV per atom less stable.



Arrangement w

TaTeMo | PBE | optimized geometry

a b c (Å): 6.332 6.332 6.332
angles (deg): 90.00 90.00 90.00
Space group F-43m (No. 216)
Symmetry-distinct sites (fractional):
Ta (0.000, 0.000, 0.000) x4
Te (0.000, 0.000, 0.500) x4
Mo (0.250, 0.250, 0.750) x4

Summary:
As for the calculated density: 10.583 g/cm³. The value obtained for the volume is 254 Å³/cell.



Arrangement x

TaTeMo | PBE | optimized geometry

a b c (Å): 4.752 4.761 9.792
angles (deg): 90.00 90.00 90.00
Space group Cmmm (No. 65)
Symmetry-distinct sites (fractional):
Ta (0.000, 0.000, 0.000) x2
Ta (0.000, 0.500, 0.500) x2
Te (0.000, 0.000, 0.324) x4
Mo (0.000, 0.500, 0.160) x4

Summary:
As for the calculated density: 12.126 g/cm³. The value obtained for the volume is 222 Å³/cell.



The most stable arrangement is arrangement x, and the next structure is 175 meV per atom less stable.